# 1
DFT (PBE) results for crystalline Ta2SiSb at its relaxed geometry.

a b c (Å): 3.026 3.462 6.986
angles (deg): 90.00 93.48 90.00
Sites, in units of the cell vectors:
Ta 0.059 0.000 0.209
Ta 0.941 0.000 0.791
Si 0.500 0.500 0.000
Sb 0.500 0.500 0.500

Raw formation energy, kJ/mol of atoms: 5.2
SG: P2/m
VASP energy, eV per atom: -8.259
ΔE to the lowest computed polymorph, eV/atom: 0.211
Spin magnetization, μB/atom: 0.00

# 2
DFT (PBE) results for crystalline Ta2SiSb at its relaxed geometry.

a b c (Å): 4.708 4.708 4.708
angles (deg): 60.00 60.00 60.00
Sites, in units of the cell vectors:
Ta 0.000 0.000 0.000
Ta 0.250 0.250 0.250
Si 0.750 0.750 0.750
Sb 0.500 0.500 0.500

Raw formation energy, kJ/mol of atoms: 33.7
SG: F-43m
VASP energy, eV per atom: -7.964
ΔE to the lowest computed polymorph, eV/atom: 0.507
Spin magnetization, μB/atom: 0.00

# 3
DFT (PBE) results for crystalline TaSi2Sb at its relaxed geometry.

a b c (Å): 5.049 5.049 4.819
angles (deg): 93.21 93.21 35.74
Sites, in units of the cell vectors:
Ta 0.000 0.000 0.000
Si 0.513 0.513 0.472
Si 0.728 0.728 0.208
Sb 0.266 0.266 0.725

Raw formation energy, kJ/mol of atoms: 29.9
SG: Cm
VASP energy, eV per atom: -6.395
Spin magnetization, μB/atom: 0.00

# 4
DFT (PBE) results for crystalline TaSi2Sb at its relaxed geometry.

a b c (Å): 3.868 3.725 5.514
angles (deg): 90.00 109.37 90.00
Sites, in units of the cell vectors:
Ta 0.000 0.000 0.000
Si 0.039 0.500 0.339
Si 0.655 0.000 0.397
Sb 0.414 0.500 0.810

Raw formation energy, kJ/mol of atoms: 3.7
SG: Pm
VASP energy, eV per atom: -6.667
Spin magnetization, μB/atom: 0.00

# 5
DFT (PBE) results for crystalline Ta2SiSb at its relaxed geometry.

a b c (Å): 5.303 5.303 5.303
angles (deg): 140.88 129.06 66.05
Sites, in units of the cell vectors:
Ta 0.000 0.000 0.000
Ta 0.739 0.239 0.500
Si 0.520 0.520 0.000
Sb 0.253 0.753 0.500

Raw formation energy, kJ/mol of atoms: 8.0
SG: Imm2
VASP energy, eV per atom: -8.229
ΔE to the lowest computed polymorph, eV/atom: 0.241
Spin magnetization, μB/atom: 0.00

# 6
DFT (PBE) results for crystalline Ta2Si2Sb at its relaxed geometry.

a b c (Å): 7.475 7.475 7.475
angles (deg): 152.62 152.62 39.10
Sites, in units of the cell vectors:
Ta 0.109 0.109 0.000
Ta 0.891 0.891 0.000
Si 0.250 0.750 0.500
Si 0.750 0.250 0.500
Sb 0.500 0.500 0.000

Raw formation energy, kJ/mol of atoms: -20.7
SG: I4/mmm
VASP energy, eV per atom: -7.949
ΔE to the lowest computed polymorph, eV/atom: 0.000
Spin magnetization, μB/atom: 0.00

# 7
DFT (PBE) results for crystalline Ta2SiSb at its relaxed geometry.

a b c (Å): 3.557 4.167 4.893
angles (deg): 90.00 90.00 90.00
Sites, in units of the cell vectors:
Ta 0.000 0.000 0.000
Ta 0.500 0.000 0.500
Si 0.000 0.500 0.500
Sb 0.500 0.500 0.000

Raw formation energy, kJ/mol of atoms: 16.2
SG: Pmmm
VASP energy, eV per atom: -8.145
ΔE to the lowest computed polymorph, eV/atom: 0.326
Spin magnetization, μB/atom: 0.00

# 8
DFT (PBE) results for crystalline TaSiSbTe2 at its relaxed geometry.

a b c (Å): 5.120 5.120 5.075
angles (deg): 90.00 90.00 90.00
Sites, in units of the cell vectors:
Ta 0.000 0.000 0.000
Si 0.500 0.500 0.500
Sb 0.500 0.500 0.000
Te 0.000 0.500 0.500
Te 0.500 0.000 0.500

Raw formation energy, kJ/mol of atoms: 104.8
SG: P4/mmm
VASP energy, eV per atom: -4.450
ΔE to the lowest computed polymorph, eV/atom: 0.338
Spin magnetization, μB/atom: 0.36

# 9
DFT (PBE) results for crystalline TaSiSbTe2 at its relaxed geometry.

a b c (Å): 5.358 5.358 5.439
angles (deg): 90.00 90.00 90.00
Sites, in units of the cell vectors:
Ta 0.000 0.000 0.000
Si 0.500 0.500 0.500
Sb 0.000 0.000 0.500
Te 0.000 0.500 0.000
Te 0.500 0.000 0.000

Raw formation energy, kJ/mol of atoms: 72.2
SG: P4/mmm
VASP energy, eV per atom: -4.788
ΔE to the lowest computed polymorph, eV/atom: 0.000
Spin magnetization, μB/atom: 0.20

# 10
DFT (PBE) results for crystalline TaTiSi2Sb at its relaxed geometry.

a b c (Å): 4.815 4.815 5.322
angles (deg): 90.00 90.00 90.00
Sites, in units of the cell vectors:
Ta 0.000 0.000 0.000
Ti 0.500 0.500 0.500
Si 0.000 0.500 0.000
Si 0.500 0.000 0.000
Sb 0.000 0.000 0.500

Raw formation energy, kJ/mol of atoms: 85.4
SG: P4/mmm
VASP energy, eV per atom: -6.058
Spin magnetization, μB/atom: 0.04

# 11
DFT (PBE) results for crystalline ZrTaSi2Sb at its relaxed geometry.

a b c (Å): 4.984 4.984 5.110
angles (deg): 90.00 90.00 90.00
Sites, in units of the cell vectors:
Zr 0.000 0.000 0.000
Ta 0.500 0.500 0.000
Si 0.000 0.500 0.500
Si 0.500 0.000 0.500
Sb 0.500 0.500 0.500

Raw formation energy, kJ/mol of atoms: 147.4
SG: P4/mmm
VASP energy, eV per atom: -5.546
Spin magnetization, μB/atom: 0.00

# 12
DFT (PBE) results for crystalline Tb6Si2Sb at its relaxed geometry.

a b c (Å): 8.519 8.519 8.519
angles (deg): 112.12 111.35 105.03
Sites, in units of the cell vectors:
Tb 0.036 0.244 0.793
Tb 0.186 0.276 0.463
Tb 0.186 0.724 0.910
Tb 0.321 0.025 0.704
Tb 0.321 0.618 0.296
Tb 0.451 0.244 0.207
Tb 0.549 0.756 0.793
Tb 0.679 0.382 0.704
Tb 0.679 0.975 0.296
Tb 0.814 0.276 0.090
Tb 0.814 0.724 0.537
Tb 0.964 0.756 0.207
Si 0.115 0.615 0.500
Si 0.372 0.000 0.372
Si 0.628 0.000 0.628
Si 0.885 0.385 0.500
Sb 0.000 0.000 0.000
Sb 0.500 0.500 0.000

Raw formation energy, kJ/mol of atoms: -61.2
SG: Immm
VASP energy, eV per atom: -5.384
Spin magnetization, μB/atom: 0.00

# 13
DFT (PBE) results for crystalline Tb8SiSb2 at its relaxed geometry.

a b c (Å): 9.459 9.459 7.341
angles (deg): 92.04 92.04 28.97
Sites, in units of the cell vectors:
Tb 0.008 0.008 0.235
Tb 0.218 0.218 0.359
Tb 0.345 0.345 0.947
Tb 0.403 0.403 0.463
Tb 0.597 0.597 0.537
Tb 0.655 0.655 0.053
Tb 0.782 0.782 0.641
Tb 0.992 0.992 0.765
Si 0.500 0.500 0.000
Sb 0.175 0.175 0.783
Sb 0.825 0.825 0.217

Raw formation energy, kJ/mol of atoms: -46.7
SG: C2/m
VASP energy, eV per atom: -5.094
Spin magnetization, μB/atom: 0.00

# 14
DFT (PBE) results for crystalline Tb5Si2Sb at its relaxed geometry.

a b c (Å): 8.764 8.764 8.764
angles (deg): 127.28 127.28 77.79
Sites, in units of the cell vectors:
Tb 0.000 0.000 0.000
Tb 0.020 0.520 0.821
Tb 0.199 0.020 0.500
Tb 0.301 0.801 0.821
Tb 0.480 0.301 0.500
Tb 0.500 0.500 0.000
Tb 0.520 0.699 0.500
Tb 0.699 0.199 0.179
Tb 0.801 0.980 0.500
Tb 0.980 0.480 0.179
Si 0.138 0.362 0.500
Si 0.362 0.862 0.224
Si 0.638 0.138 0.776
Si 0.862 0.638 0.500
Sb 0.250 0.250 0.000
Sb 0.750 0.750 0.000

Raw formation energy, kJ/mol of atoms: -71.8
SG: I4/mcm
VASP energy, eV per atom: -5.509
Spin magnetization, μB/atom: 0.24